Record 1
# CaPrDy | Alexandria | GGA-PBE | optimized geometry
# Polymorph energy (0 for the lowest one)   18 meV per atom
data_CaPrDy
_chemical_formula_sum 'Ca1 Pr1 Dy1'
_symmetry_space_group_name_H-M 'P 3 m 1'
_symmetry_Int_Tables_number 156
_cell_length_a 3.6822
_cell_length_b 3.6822
_cell_length_c 9.1839
_cell_angle_alpha 90.00
_cell_angle_beta 90.00
_cell_angle_gamma 120.00
loop_
_symmetry_equiv_pos_as_xyz
'x,y,z'
'-y,x-y,z'
'-x+y,-x,z'
'-y,-x,z'
'-x+y,y,z'
'x,x-y,z'
loop_
_atom_site_label
_atom_site_fract_x
_atom_site_fract_y
_atom_site_fract_z
Ca1 0.0000 0.0000 0.0000
Pr1 0.3333 0.6667 0.6460
Dy1 0.6667 0.3333 0.3391



Record 2
# CaPrDy | Alexandria | GGA-PBE | optimized geometry
# Polymorph energy (0 for the lowest one)   0 meV per atom
data_CaPrDy
_chemical_formula_sum 'Ca2 Pr2 Dy2'
_symmetry_space_group_name_H-M 'P 4/n m m'
_symmetry_Int_Tables_number 129
_cell_length_a 3.687
_cell_length_b 3.687
_cell_length_c 15.959
_cell_angle_alpha 90.00
_cell_angle_beta 90.00
_cell_angle_gamma 90.00
loop_
_symmetry_equiv_pos_as_xyz
'x,y,z'
'-x,-y,-z'
'-y+1/2,x,z'
'y+1/2,-x,-z'
'-x+1/2,-y+1/2,z'
'x+1/2,y+1/2,-z'
'y,-x+1/2,z'
'-y,x+1/2,-z'
'x+1/2,-y,-z'
'-x+1/2,y,z'
'-y,-x,-z'
'y,x,z'
'-x,y+1/2,-z'
'x,-y+1/2,z'
'y+1/2,x+1/2,-z'
'-y+1/2,-x+1/2,z'
loop_
_atom_site_label
_atom_site_fract_x
_atom_site_fract_y
_atom_site_fract_z
Ca1 0.250 0.250 0.093
Pr1 0.250 0.250 0.731
Dy1 0.250 0.250 0.423



Record 3
A geometry-optimized CaPr6Dy structure, computed with GGA-PBE.

Cell and atoms, written as CIF:
```
data_CaPr6Dy
_chemical_formula_sum 'Ca1 Pr6 Dy1'
_symmetry_space_group_name_H-M 'P 4/m m m'
_symmetry_Int_Tables_number 123
_symmetry_space_group_name_Hall '-P 4 2'
_cell_length_a 5.234
_cell_length_b 5.234
_cell_length_c 10.488
_cell_angle_alpha 90.00
_cell_angle_beta 90.00
_cell_angle_gamma 90.00
loop_
_atom_site_label
_atom_site_fract_x
_atom_site_fract_y
_atom_site_fract_z
Ca1 0.000 0.000 0.000
Pr1 0.000 0.500 0.257
Pr2 0.500 0.500 0.000
Pr3 0.500 0.500 0.500
Dy1 0.000 0.000 0.500
```



Record 4
A geometry-optimized Ca2Pr12Dy5 structure, computed with GGA-PBE.

Cell and atoms, written as CIF:
```
data_Ca2Pr12Dy5
_chemical_formula_sum 'Ca4 Pr24 Dy10'
_symmetry_space_group_name_H-M 'C 1 2/m 1'
_symmetry_Int_Tables_number 12
_cell_length_a 13.225
_cell_length_b 11.859
_cell_length_c 9.600
_cell_angle_alpha 90.00
_cell_angle_beta 116.03
_cell_angle_gamma 90.00
loop_
_symmetry_equiv_pos_as_xyz
'x,y,z'
'-x,-y,-z'
'-x,y,-z'
'x,-y,z'
'x+1/2,y+1/2,z'
'-x+1/2,-y+1/2,-z'
'-x+1/2,y+1/2,-z'
'x+1/2,-y+1/2,z'
loop_
_atom_site_label
_atom_site_fract_x
_atom_site_fract_y
_atom_site_fract_z
Ca1 0.000 0.227 0.000
Pr1 0.079 0.000 0.785
Pr2 0.108 0.221 0.422
Pr3 0.118 0.500 0.937
Pr4 0.197 0.254 0.802
Dy1 0.000 0.500 0.500
Dy2 0.193 0.000 0.240
Dy3 0.196 0.500 0.338
```



Record 5
# CaPrDy | Alexandria | GGA-PBE | optimized geometry
# Polymorph energy (0 for the lowest one)   22 meV per atom
data_CaPrDy
_chemical_formula_sum 'Ca2 Pr2 Dy2'
_symmetry_space_group_name_H-M 'P m m n'
_symmetry_Int_Tables_number 59
_cell_length_a 3.687
_cell_length_b 5.113
_cell_length_c 11.454
_cell_angle_alpha 90.00
_cell_angle_beta 90.00
_cell_angle_gamma 90.00
loop_
_symmetry_equiv_pos_as_xyz
'x,y,z'
'-x,-y,-z'
'-x+1/2,-y+1/2,z'
'x+1/2,y+1/2,-z'
'x+1/2,-y,-z'
'-x+1/2,y,z'
'-x,y+1/2,-z'
'x,-y+1/2,z'
loop_
_atom_site_label
_atom_site_fract_x
_atom_site_fract_y
_atom_site_fract_z
Ca1 0.250 0.250 0.093
Pr1 0.250 0.250 0.729
Dy1 0.250 0.250 0.426



Record 6
A geometry-optimized CaPr6Dy8 structure, computed with GGA-PBE.

Cell and atoms, written as CIF:
```
data_CaPr6Dy8
_chemical_formula_sum 'Ca1 Pr6 Dy8'
_symmetry_space_group_name_H-M 'P -3'
_symmetry_Int_Tables_number 147
_cell_length_a 9.9663
_cell_length_b 9.9663
_cell_length_c 6.2493
_cell_angle_alpha 90.00
_cell_angle_beta 90.00
_cell_angle_gamma 120.00
loop_
_symmetry_equiv_pos_as_xyz
'x,y,z'
'-x,-y,-z'
'-y,x-y,z'
'y,-x+y,-z'
'-x+y,-x,z'
'x-y,x,-z'
loop_
_atom_site_label
_atom_site_fract_x
_atom_site_fract_y
_atom_site_fract_z
Ca1 0.0000 0.0000 0.0000
Pr1 0.1324 0.6901 0.9414
Dy1 0.0203 0.3385 0.5668
Dy2 0.3333 0.6667 0.4189
```



Record 7
A geometry-optimized CaPr12Dy5 structure, computed with GGA-PBE.

Cell and atoms, written as CIF:
```
data_CaPr12Dy5
_chemical_formula_sum 'Ca2 Pr24 Dy10'
_symmetry_space_group_name_H-M 'C m m m'
_symmetry_Int_Tables_number 65
_symmetry_space_group_name_Hall '-C 2 2'
_cell_length_a 15.507
_cell_length_b 15.657
_cell_length_c 5.216
_cell_angle_alpha 90.00
_cell_angle_beta 90.00
_cell_angle_gamma 90.00
loop_
_atom_site_label
_atom_site_fract_x
_atom_site_fract_y
_atom_site_fract_z
Ca1 0.000 0.000 0.000
Pr1 0.164 0.334 0.500
Pr2 0.166 0.500 0.000
Pr3 0.167 0.170 0.000
Pr4 0.170 0.000 0.500
Dy1 0.000 0.173 0.500
Dy2 0.000 0.334 0.000
Dy3 0.000 0.500 0.500
```



Record 8
# Ca2PrDy | Alexandria | GGA-PBE | optimized geometry
# Polymorph energy (0 for the lowest one)   49 meV per atom
data_Ca2PrDy
_chemical_formula_sum 'Ca2 Pr1 Dy1'
_symmetry_space_group_name_H-M 'P 4/m m m'
_symmetry_Int_Tables_number 123
_symmetry_space_group_name_Hall '-P 4 2'
_cell_length_a 4.173
_cell_length_b 4.173
_cell_length_c 8.421
_cell_angle_alpha 90.00
_cell_angle_beta 90.00
_cell_angle_gamma 90.00
loop_
_atom_site_label
_atom_site_fract_x
_atom_site_fract_y
_atom_site_fract_z
Ca1 0.000 0.000 0.243
Pr1 0.500 0.500 0.500
Dy1 0.500 0.500 0.000



Record 9
A geometry-optimized CaPr7Dy3 structure, computed with GGA-PBE.

Cell and atoms, written as CIF:
```
data_CaPr7Dy3
_chemical_formula_sum 'Ca1 Pr7 Dy3'
_symmetry_space_group_name_H-M 'P 3 m 1'
_symmetry_Int_Tables_number 156
_cell_length_a 7.2964
_cell_length_b 7.2964
_cell_length_c 8.8031
_cell_angle_alpha 90.00
_cell_angle_beta 90.00
_cell_angle_gamma 120.00
loop_
_symmetry_equiv_pos_as_xyz
'x,y,z'
'-y,x-y,z'
'-x+y,-x,z'
'-y,-x,z'
'-x+y,y,z'
'x,x-y,z'
loop_
_atom_site_label
_atom_site_fract_x
_atom_site_fract_y
_atom_site_fract_z
Ca1 0.0000 0.0000 0.0000
Pr1 0.1692 0.3384 0.3404
Pr2 0.5010 0.0020 0.9864
Pr3 0.6667 0.3333 0.3184
Dy1 0.3376 0.1688 0.6570
```



Record 10
# CaPr3Dy | Alexandria | GGA-PBE | optimized geometry
# Polymorph energy (0 for the lowest one)   0 meV per atom
data_CaPr3Dy
_chemical_formula_sum 'Ca4 Pr12 Dy4'
_symmetry_space_group_name_H-M 'C m m m'
_symmetry_Int_Tables_number 65
_symmetry_space_group_name_Hall '-C 2 2'
_cell_length_a 5.592
_cell_length_b 11.454
_cell_length_c 11.497
_cell_angle_alpha 90.00
_cell_angle_beta 90.00
_cell_angle_gamma 90.00
loop_
_atom_site_label
_atom_site_fract_x
_atom_site_fract_y
_atom_site_fract_z
Ca1 0.000 0.156 0.000
Pr1 0.000 0.153 0.308
Pr2 0.000 0.500 0.190
Dy1 0.000 0.361 0.500



Record 11
A geometry-optimized CaPr4Dy2 structure, computed with GGA-PBE.

Cell and atoms, written as CIF:
```
data_CaPr4Dy2
_chemical_formula_sum 'Ca3 Pr12 Dy6'
_symmetry_space_group_name_H-M 'R -3 m'
_symmetry_Int_Tables_number 166
_symmetry_space_group_name_Hall '-R 3 2"'
_cell_length_a 3.6705
_cell_length_b 3.6705
_cell_length_c 63.6265
_cell_angle_alpha 90.00
_cell_angle_beta 90.00
_cell_angle_gamma 120.00
loop_
_atom_site_label
_atom_site_fract_x
_atom_site_fract_y
_atom_site_fract_z
Ca1 0.0000 0.0000 0.0000
Pr1 0.0000 0.0000 0.1427
Pr2 0.0000 0.0000 0.2823
Dy1 0.0000 0.0000 0.4294
```



Record 12
# CaPr4Dy | Alexandria | GGA-PBE | optimized geometry
# Polymorph energy (0 for the lowest one)   0 meV per atom
data_CaPr4Dy
_chemical_formula_sum 'Ca1 Pr4 Dy1'
_symmetry_space_group_name_H-M 'P 1 2/m 1'
_symmetry_Int_Tables_number 10
_cell_length_a 3.664
_cell_length_b 5.273
_cell_length_c 11.169
_cell_angle_alpha 90.00
_cell_angle_beta 90.04
_cell_angle_gamma 90.00
loop_
_symmetry_equiv_pos_as_xyz
'x,y,z'
'-x,-y,-z'
'-x,y,-z'
'x,-y,z'
loop_
_atom_site_label
_atom_site_fract_x
_atom_site_fract_y
_atom_site_fract_z
Ca1 0.000 0.000 0.000
Pr1 0.001 0.000 0.660
Pr2 0.499 0.500 0.181
Dy1 0.500 0.500 0.500



| no. | calculated formation energy (kJ/mol of atoms) | volume (Å³/f.u.) | uncorrected energy (eV/atom) |
| --- | --- | --- | --- |
| 1 | 5 | 107.8 | -3.75 |
| 2 | 3 | 108.5 | -3.76 |
| 3 | 3 | 287.3 | -4.38 |
| 4 | 12 | 676.5 | -4.32 |
| 5 | 5 | 108.0 | -3.74 |
| 6 | 21 | 537.6 | -4.28 |
| 7 | 3 | 633.2 | -4.54 |
| 8 | 14 | 146.6 | -3.20 |
| 9 | 20 | 405.9 | -4.27 |
| 10 | 15 | 184.1 | -4.04 |
| 11 | 2 | 247.5 | -4.31 |
| 12 | 3 | 215.8 | -4.25 |